The following is a PBE-GGA calculation of a relaxed P2HBr6 crystal, from the Alexandria database.

Summary:
The value obtained for the excess energy over the best structure of this formula in the dataset is 0 meV per atom.

Cell lengths 6.944, 7.525, 7.975 Å; angles 68.54, 78.21, 70.64 degrees
Fractional coordinates of all 9 atoms:
P (0.079, 0.381, 0.424)
P (0.921, 0.619, 0.576)
H (0.000, 0.000, 0.500)
Br (0.124, 0.051, 0.288)
Br (0.139, 0.598, 0.157)
Br (0.376, 0.259, 0.546)
Br (0.624, 0.741, 0.454)
Br (0.861, 0.402, 0.843)
Br (0.876, 0.949, 0.712)